DFT (PBE) results for a relaxed structure of CoAgIr2.

Summary:
Its density of states at the Fermi level is 18.9 states/eV/cell. The value obtained for the formation enthalpy at 0 K is 63.9 kJ/mol of atoms.

Unit cell a=6.1235 b=6.1235 c=6.1235 alpha=90.00 beta=90.00 gamma=90.00
With the nearest neighbours (Å) after each atom.
Space group Fm-3m (No. 225)
Unique sites:
Co 0.0000 0.0000 0.0000  8 Ir 2.65
Ag 0.0000 0.0000 0.5000  8 Ir 2.65
Ir 0.2500 0.2500 0.2500  4 Co 2.65, 4 Ag 2.65

***

DFT (PBE) results for a relaxed structure of CoAg2Ir.

Summary:
Its density of states at the Fermi level is 7.5 states/eV/cell. The value obtained for the formation enthalpy at 0 K is 42.8 kJ/mol of atoms.

Unit cell a=2.7780 b=4.7675 c=9.4299 alpha=90.00 beta=90.00 gamma=90.00
With the nearest neighbours (Å) after each atom.
Space group Imm2 (No. 44)
Unique sites:
Co 0.0000 0.0000 0.0000  2 Ir 2.43
Ag 0.0000 0.0000 0.4779  4 Co 2.77, 4 Ag 2.78-2.92, 2 Ir 2.87
Ag 0.0000 0.5000 0.2501  2 Co 2.74, 4 Ag 2.78-2.92, 4 Ir 2.78
Ir 0.0000 0.5000 0.7110  2 Co 2.43

***

DFT (PBE) results for a relaxed structure of CoAg2Ir.

Summary:
Its density of states at the Fermi level is 6.9 states/eV/cell. The value obtained for the formation enthalpy at 0 K is 30.4 kJ/mol of atoms.

Unit cell a=2.8218 b=4.6735 c=9.4569 alpha=90.00 beta=90.00 gamma=90.00
With the nearest neighbours (Å) after each atom.
Space group Cmm2 (No. 35)
Unique sites:
Co 0.0000 0.0000 0.0000  2 Ir 2.49, 2 Ag 2.73, 4 Co 2.73
Ag 0.0000 0.0000 0.4833  8 Ag 2.73-2.92, 2 Ir 2.89
Ag 0.0000 0.5000 0.7533  2 Co 2.73, 8 Ag 2.73-2.92
Ir 0.0000 0.5000 0.2167  2 Co 2.49, 4 Ir 2.73

***

DFT (PBE) results for a relaxed structure of CoAg2Ir.

Summary:
Its density of states at the Fermi level is 12.6 states/eV/cell. The value obtained for the formation enthalpy at 0 K is 63.9 kJ/mol of atoms.

Unit cell a=6.2848 b=6.2848 c=6.2848 alpha=90.00 beta=90.00 gamma=90.00
With the nearest neighbours (Å) after each atom.
Space group Fm-3m (No. 225)
Unique sites:
Co 0.0000 0.0000 0.0000  8 Ag 2.72
Ag 0.2500 0.2500 0.2500  4 Co 2.72, 4 Ir 2.72
Ir 0.0000 0.0000 0.5000  8 Ag 2.72

***

DFT (PBE) results for a relaxed structure of Co3AgIr.

Summary:
Its density of states at the Fermi level is 8.8 states/eV/cell. The value obtained for the formation enthalpy at 0 K is 197.4 kJ/mol of atoms.

Unit cell a=4.4934 b=4.4934 c=4.4934 alpha=90.00 beta=90.00 gamma=90.00
With the nearest neighbours (Å) after each atom.
Space group Pm-3m (No. 221)
Unique sites:
Co 0.0000 0.0000 0.5000  2 Ag 2.25
Ag 0.0000 0.0000 0.0000  6 Co 2.25
Ir 0.5000 0.5000 0.5000  12 Co 3.18

***

DFT (PBE) results for a relaxed structure of CoAgIr2.

Summary:
Its density of states at the Fermi level is 16.5 states/eV/cell. The value obtained for the formation enthalpy at 0 K is 18.9 kJ/mol of atoms.

Unit cell a=2.7316 b=2.7316 c=27.0252 alpha=90.00 beta=90.00 gamma=120.00
With the nearest neighbours (Å) after each atom.
Space group R-3m (No. 166, hexagonal axes)
Unique sites:
Co 0.0000 0.0000 0.0000  6 Ir 2.57, 6 Co 2.73
Ag 0.0000 0.0000 0.5000  6 Ag 2.73, 6 Ir 2.93
Ir 0.0000 0.0000 0.2580  3 Co 2.57, 6 Ir 2.73

***

DFT (PBE) results for a relaxed structure of CoAg2Ir.

Summary:
Its density of states at the Fermi level is 8.0 states/eV/cell. The value obtained for the formation enthalpy at 0 K is 38.7 kJ/mol of atoms.

Unit cell a=9.0781 b=2.7619 c=5.0029 alpha=90.00 beta=100.66 gamma=90.00
With the nearest neighbours (Å) after each atom.
Space group Cm (No. 8)
Unique sites:
Co 0.0000 0.0000 0.0000  3 Ir 2.55-2.72, 4 Ag 2.73-2.84, 2 Co 2.76
Ag 0.0094 0.5000 0.5332  5 Ag 2.67-2.79, 4 Co 2.73-2.99, 3 Ir 2.86-2.87
Ag 0.2510 0.5000 0.2988  5 Ag 2.67-2.79, 4 Ir 2.77-2.96, 3 Co 2.84-2.93
Ir 0.2664 0.0000 0.8257  3 Co 2.55-2.72, 2 Ir 2.76, 2 Ag 2.77

***

DFT (PBE) results for a relaxed structure of CoAg2Ir.

Summary:
Its density of states at the Fermi level is 9.3 states/eV/cell. The value obtained for the formation enthalpy at 0 K is 43.1 kJ/mol of atoms.

Unit cell a=2.7867 b=4.5767 c=9.6254 alpha=90.00 beta=90.00 gamma=90.00
With the nearest neighbours (Å) after each atom.
Space group Immm (No. 71)
Unique sites:
Co 0.0000 0.0000 0.0000  4 Ir 2.68, 4 Ag 2.68, 2 Co 2.79
Ag 0.0000 0.5000 0.2617  2 Co 2.68, 6 Ag 2.69-2.79, 2 Ir 2.88
Ir 0.0000 0.0000 0.5000  4 Co 2.68, 2 Ir 2.79, 4 Ag 2.88

***

DFT (PBE) results for a relaxed structure of CoAgIr2.

Summary:
Its density of states at the Fermi level is 5.4 states/eV/cell. The value obtained for the formation enthalpy at 0 K is 29.9 kJ/mol of atoms.

Unit cell a=2.7278 b=3.8041 c=5.6262 alpha=90.00 beta=90.00 gamma=90.00
With the nearest neighbours (Å) after each atom.
Space group Pmm2 (No. 25)
Unique sites:
Co 0.0000 0.0000 0.0000  5 Ir 2.54-2.67, 2 Co 2.73, 4 Ag 2.76
Ag 0.5000 0.5000 0.7405  2 Ag 2.73, 6 Ir 2.75-2.88, 4 Co 2.76
Ir 0.0000 0.0000 0.4513  1 Co 2.54, 6 Ir 2.66-2.73
Ir 0.5000 0.5000 0.2285  6 Ir 2.66-2.73, 4 Co 2.67, 2 Ag 2.75-2.88

***

DFT (PBE) results for a relaxed structure of CoAgIr2.

Summary:
Its density of states at the Fermi level is 11.7 states/eV/cell. The value obtained for the formation enthalpy at 0 K is 22.2 kJ/mol of atoms.

Unit cell a=2.7384 b=2.7384 c=26.8588 alpha=90.00 beta=90.00 gamma=120.00
With the nearest neighbours (Å) after each atom.
Space group R3m (No. 160, hexagonal axes)
Unique sites:
Co 0.0000 0.0000 0.0000  3 Ir 2.56, 6 Co 2.74, 3 Ag 2.77
Ag 0.0000 0.0000 0.2485  6 Ag 2.74, 3 Co 2.77, 3 Ir 2.92
Ir 0.0000 0.0000 0.4905  9 Ir 2.72-2.74, 3 Ag 2.92
Ir 0.0000 0.0000 0.7415  3 Co 2.56, 9 Ir 2.72-2.74

***

Number 1: polymorph energy (0 for the lowest one) 0.466 eV/atom. Number 2: polymorph energy (0 for the lowest one) 0.211 eV/atom. Number 3: polymorph energy (0 for the lowest one) 0.083 eV/atom. Number 4: polymorph energy (0 for the lowest one) 0.430 eV/atom. Number 5: polymorph energy (0 for the lowest one) 0.726 eV/atom. Number 6: polymorph energy (0 for the lowest one) 0.000 eV/atom. Number 7: polymorph energy (0 for the lowest one) 0.169 eV/atom. Number 8: polymorph energy (0 for the lowest one) 0.215 eV/atom. Number 9: polymorph energy (0 for the lowest one) 0.114 eV/atom. Number 10: polymorph energy (0 for the lowest one) 0.034 eV/atom.